Entry 1:
Material: Ba8Sn2Hg
Method: DFT, PBE
State: relaxed

Summary:
- N(E_F) (states/eV per atom) = 0.975
- energy of formation from the pure elements (eV per atom) = -0.386

Structure (extended XYZ):
```
11
Lattice="10.977 -2.960 0.000 10.977 2.960 0.000 -2.132 0.000 7.898" Properties=species:S:1:pos:R:3 pbc="T T T"
Ba 0.079 0.000 2.291
Ba 2.854 0.000 6.374
Ba 6.284 0.000 4.284
Ba 8.778 0.000 0.452
Ba 11.044 0.000 7.446
Ba 13.538 0.000 3.614
Ba 16.968 0.000 1.524
Ba 19.743 0.000 5.607
Sn 3.704 0.000 1.749
Sn 16.118 0.000 6.149
Hg 9.911 0.000 3.949
```

Entry 2:
Material: Ba3Sn8Hg
Method: DFT, PBE
State: relaxed

Summary:
- N(E_F) (states/eV per atom) = 0.440
- energy of formation from the pure elements (eV per atom) = -0.415

Structure (extended XYZ):
```
12
Lattice="6.505 0.000 0.000 -3.253 5.634 0.000 0.000 0.000 10.426" Properties=species:S:1:pos:R:3 pbc="T T T"
Ba 0.000 0.000 0.000
Ba 0.000 0.000 3.935
Ba 0.000 3.756 8.793
Sn -1.593 2.836 1.915
Sn 1.572 0.907 7.116
Sn 1.593 2.836 1.915
Sn 0.000 5.595 1.915
Sn 3.253 1.878 4.651
Sn 3.253 1.878 9.801
Sn 4.933 0.907 7.116
Sn 3.253 3.819 7.116
Hg 0.000 3.756 5.090
```

Entry 3:
Material: BaSnHg2
Method: DFT, PBE
State: relaxed

Summary:
- N(E_F) (states/eV per atom) = 0.870
- energy of formation from the pure elements (eV per atom) = -0.312

Structure (extended XYZ):
```
4
Lattice="5.082 0.000 0.000 0.000 5.082 0.000 0.000 0.000 4.857" Properties=species:S:1:pos:R:3 pbc="T T T"
Ba 0.000 0.000 0.000
Sn 2.541 2.541 0.000
Hg 0.000 2.541 2.428
Hg 2.541 0.000 2.428
```

Entry 4:
Material: BaSn2Hg6
Method: DFT, PBE
State: relaxed

Summary:
- N(E_F) (states/eV per atom) = 0.366
- energy of formation from the pure elements (eV per atom) = -0.135

Structure (extended XYZ):
```
9
Lattice="7.305 -4.173 0.000 7.305 4.173 0.000 -1.385 0.000 4.467" Properties=species:S:1:pos:R:3 pbc="T T T"
Ba 0.000 0.000 0.000
Sn 4.394 0.000 3.983
Sn 8.831 0.000 0.484
Hg 1.855 1.541 3.109
Hg 6.612 1.540 2.234
Hg 1.855 -1.541 3.109
Hg 11.370 1.541 1.358
Hg 6.612 -1.540 2.234
Hg 11.370 -1.541 1.358
```

Entry 5:
Material: Ba3Sn2Hg7
Method: DFT, PBE
State: relaxed

Summary:
- N(E_F) (states/eV per atom) = 0.438
- energy of formation from the pure elements (eV per atom) = -0.408

Structure (extended XYZ):
```
12
Lattice="5.140 0.000 0.000 0.000 5.001 0.000 -2.490 0.000 15.205" Properties=species:S:1:pos:R:3 pbc="T T T"
Ba 0.000 0.000 0.000
Ba 0.066 2.500 9.933
Ba 2.584 2.500 5.272
Sn 0.003 0.000 4.063
Sn 2.646 0.000 11.142
Hg 0.003 2.500 2.381
Hg 0.039 0.000 6.948
Hg 0.078 0.000 12.822
Hg 2.570 2.500 0.000
Hg 2.571 0.000 2.382
Hg 2.610 0.000 8.256
Hg 2.647 2.500 12.823
```

Entry 6:
Material: Ba3SnHg
Method: DFT, PBE
State: relaxed

Summary:
- N(E_F) (states/eV per atom) = 0.951
- excess energy over the best structure of this formula in the dataset (kcal/mol of atoms) = 0.79
- energy of formation from the pure elements (eV per atom) = -0.473

Structure (extended XYZ):
```
20
Lattice="10.394 0.000 0.000 0.000 9.335 0.000 -5.232 0.000 9.072" Properties=species:S:1:pos:R:3 pbc="T T T"
Ba -1.050 0.020 1.870
Ba -3.666 4.648 6.407
Ba -0.535 1.227 5.797
Ba 2.081 3.440 1.261
Ba -0.883 6.987 8.530
Ba 1.733 7.015 3.994
Ba 3.430 2.320 5.078
Ba 6.046 2.348 0.542
Ba 3.082 5.895 7.811
Ba 5.698 8.107 3.275
Ba 8.828 4.687 2.666
Ba 6.212 9.315 7.202
Sn 0.918 6.633 0.519
Sn -1.698 7.369 5.055
Sn 6.861 1.965 4.017
Sn 4.245 2.702 8.553
Hg 2.775 0.082 1.520
Hg 0.159 4.586 6.056
Hg 5.003 4.749 3.016
Hg 2.387 9.253 7.552
```

Entry 7:
Material: BaSn3Hg
Method: DFT, PBE
State: relaxed

Summary:
- N(E_F) (states/eV per atom) = 0.250
- excess energy over the best structure of this formula in the dataset (kcal/mol of atoms) = 0.00
- energy of formation from the pure elements (eV per atom) = -0.358

Structure (extended XYZ):
```
5
Lattice="3.767 -3.776 0.000 3.767 3.776 0.000 -3.759 0.000 5.577" Properties=species:S:1:pos:R:3 pbc="T T T"
Ba 0.000 0.000 0.000
Sn 1.887 1.887 2.804
Sn 3.772 0.000 1.398
Sn 1.887 -1.887 2.804
Hg -0.003 0.000 4.135
```

Entry 8:
Material: BaSn2Hg
Method: DFT, PBE
State: relaxed

Summary:
- N(E_F) (states/eV per atom) = 0.778
- energy of formation from the pure elements (eV per atom) = -0.258

Structure (extended XYZ):
```
8
Lattice="-2.612 2.612 10.548 2.612 -2.612 10.548 2.612 2.612 -10.548" Properties=species:S:1:pos:R:3 pbc="T T T"
Ba 0.000 0.000 0.000
Ba 0.000 2.612 5.274
Sn 1.306 -0.788 7.911
Sn 1.824 1.306 2.637
Sn 1.306 3.400 -2.637
Sn 0.788 1.306 13.185
Hg 2.612 0.000 5.274
Hg 0.000 0.000 10.548
```